# 1
Here is a relaxed structure of In2TcMo from OQMD. Energies are from PBE.

The structure belongs to space group F-43m (No. 216); the cell edges are 6.578, 6.578 and 6.578 Å and the angles 90.00°, 90.00° and 90.00°. The asymmetric unit holds In at (0.000, 0.000, 0.000), In at (0.250, 0.250, 0.250), Tc at (0.250, 0.250, 0.750) and Mo at (0.000, 0.000, 0.500).

Its density is 9.88 Mg/m³. The calculation puts the total magnetic moment at 0.000 μB per atom. As for the final energy: -99.102 eV per cell. Its calculated volume is 17.8 A^3/atom.

# 2
Here is a relaxed structure of FeReNiSn from OQMD. Energies are from PBE.

The structure belongs to space group F-43m (No. 216); the cell edges are 6.102, 6.102 and 6.102 Å and the angles 90.00°, 90.00° and 90.00°. The asymmetric unit holds Fe at (0.000, 0.000, 0.000), Re at (0.250, 0.250, 0.250), Ni at (0.000, 0.000, 0.500) and Sn at (0.250, 0.250, 0.750).

Its density is 12.26 Mg/m³. The calculation puts the excess energy over the best structure of this formula in the dataset at 0.000 eV per atom. The calculation puts the total magnetic moment at 0.425 μB per atom. As for the final energy: -116.418 eV per cell. Its calculated volume is 14.2 A^3/atom.

# 3
Here is a relaxed structure of Ge2AsPd6 from OQMD. Energies are from PBE.

The structure belongs to space group P-62m (No. 189); the cell edges are 6.8355, 6.8355 and 3.4708 Å and the angles 90.00°, 90.00° and 120.00°. The asymmetric unit holds Ge at (0.3333, 0.6667, 0.0000), As at (0.0000, 0.0000, 0.5000), Pd at (0.0000, 0.2706, 0.0000) and Pd at (0.0000, 0.6065, 0.5000).

Its density is 10.15 Mg/m³. As for the final energy: -49.358 eV per cell. Its calculated volume is 15.6 A^3/atom.

Copy entry 1 word for word.
Here is a relaxed structure of In2TcMo from OQMD. Energies are from PBE.

The structure belongs to space group F-43m (No. 216); the cell edges are 6.578, 6.578 and 6.578 Å and the angles 90.00°, 90.00° and 90.00°. The asymmetric unit holds In at (0.000, 0.000, 0.000), In at (0.250, 0.250, 0.250), Tc at (0.250, 0.250, 0.750) and Mo at (0.000, 0.000, 0.500).

Its density is 9.88 Mg/m³. The calculation puts the total magnetic moment at 0.000 μB per atom. As for the final energy: -99.102 eV per cell. Its calculated volume is 17.8 A^3/atom.

Please write out number 3 again, unchanged.
Here is a relaxed structure of Ge2AsPd6 from OQMD. Energies are from PBE.

The structure belongs to space group P-62m (No. 189); the cell edges are 6.8355, 6.8355 and 3.4708 Å and the angles 90.00°, 90.00° and 120.00°. The asymmetric unit holds Ge at (0.3333, 0.6667, 0.0000), As at (0.0000, 0.0000, 0.5000), Pd at (0.0000, 0.2706, 0.0000) and Pd at (0.0000, 0.6065, 0.5000).

Its density is 10.15 Mg/m³. As for the final energy: -49.358 eV per cell. Its calculated volume is 15.6 A^3/atom.

Please write out number 1 again, unchanged.
Here is a relaxed structure of In2TcMo from OQMD. Energies are from PBE.

The structure belongs to space group F-43m (No. 216); the cell edges are 6.578, 6.578 and 6.578 Å and the angles 90.00°, 90.00° and 90.00°. The asymmetric unit holds In at (0.000, 0.000, 0.000), In at (0.250, 0.250, 0.250), Tc at (0.250, 0.250, 0.750) and Mo at (0.000, 0.000, 0.500).

Its density is 9.88 Mg/m³. The calculation puts the total magnetic moment at 0.000 μB per atom. As for the final energy: -99.102 eV per cell. Its calculated volume is 17.8 A^3/atom.

density of number 3 (Ge2AsPd6)?
10.15 Mg/m³